# GGA-PBE PmTmTcAg, optimized geometry
data_PmTmTcAg
_symmetry_space_group_name_H-M 'F -4 3 m'
_symmetry_Int_Tables_number 216
_symmetry_space_group_name_Hall 'F -4 2 3'
_cell_length_a 7.074
_cell_length_b 7.074
_cell_length_c 7.074
_cell_angle_alpha 90.00
_cell_angle_beta 90.00
_cell_angle_gamma 90.00
loop_
_atom_site_label
_atom_site_fract_x
_atom_site_fract_y
_atom_site_fract_z
Pm1 0.000 0.000 0.000
Tm1 0.000 0.000 0.500
Tc1 0.250 0.250 0.750
Ag1 0.250 0.250 0.250
# Electronic total energy (eV/atom): -5.6867